[1]
Material: CrSbSeBr2
Method: DFT, GGA-PBE
State: relaxed

Lattice parameters (Å, degrees): 4.9803 4.9803 5.1580 90.00 90.00 90.00
Positions (direct):
Cr  0.0000  0.0000  0.0000
Sb  0.5000  0.5000  0.5000
Se  0.0000  0.0000  0.5000
Br  0.0000  0.5000  0.0000
Br  0.5000  0.0000  0.0000

Output
DOS(E_F): 3.54 states/eV per cell
Offset from the most stable computed form: 0 meV/atom
Uncorrected formation energy: 9 meV per atom
SG: P4/mmm (123)


[2]
Material: RbAl2Cu
Method: DFT, GGA-PBE
State: relaxed

Lattice parameters (Å, degrees): 8.1450 8.1450 8.1450 136.08 136.08 63.86
Positions (direct):
Rb  0.3750  0.6250  0.7500
Rb  0.6250  0.3750  0.2500
Al  0.0000  0.0000  0.0000
Al  0.0000  0.0000  0.5000
Al  0.0000  0.5000  0.0000
Al  0.5000  0.0000  0.5000
Cu  0.1250  0.8750  0.2500
Cu  0.8750  0.1250  0.7500

Output
DOS(E_F): 2.35 states/eV per cell
Offset from the most stable computed form: 0 meV/atom
Formation energy from the elements: 0.315 eV/atom
SG: I4_1/amd (141)